[1]
First-principles (PBE) data for an optimized crystal structure of Th2MgC, as listed in the Alexandria database.

a b c (Å): 3.6700 6.3310 9.0666
angles (deg): 103.55 90.00 90.00
Fractional positions:
1 Th 0.7778 0.6213 0.3861
2 Th 0.7778 0.0651 0.7174
3 Th 0.2778 0.5648 0.7172
4 Th 0.2778 0.1210 0.3859
5 C 0.7778 0.3429 0.5516
6 C 0.2778 0.8432 0.5518
7 Mg 0.2774 0.3439 0.0517
8 Mg 0.7773 0.8419 0.0516

ΔH_f (0 K): -0.13 eV per atom
Magnetic moment: 0.000 μB/atom

***

[2]
First-principles (PBE) data for an optimized crystal structure of Ti2CuSb2, as listed in the Alexandria database.

a b c (Å): 7.3209 7.3209 3.6560
angles (deg): 90.00 90.00 90.00
Fractional positions:
1 Sb 0.1576 0.3424 0.0000
2 Sb 0.8424 0.6576 0.0000
3 Sb 0.6576 0.1576 0.0000
4 Sb 0.3424 0.8424 0.0000
5 Ti 0.8598 0.3598 0.5000
6 Ti 0.1402 0.6402 0.5000
7 Ti 0.3598 0.1402 0.5000
8 Ti 0.6402 0.8598 0.5000
9 Cu 0.0000 0.0000 0.0000
10 Cu 0.5000 0.5000 0.0000

Energy above the lowest structure with this stoichiometry: 0.13 eV/f.u.
Magnetic moment: 0.000 μB/atom
ΔE_f (raw): -147 meV/atom

***

[3]
First-principles (PBE) data for an optimized crystal structure of K3PrTh3Te8, as listed in the Alexandria database.

a b c (Å): 8.9899 8.9875 9.9485
angles (deg): 116.86 90.00 120.01
Fractional positions:
1 Th 0.5000 0.5000 0.5000
2 Th 0.0000 0.5000 0.5000
3 Th 0.5000 0.0000 0.5000
4 Te 0.7399 0.4797 0.7193
5 Te 0.2685 0.0255 0.2826
6 Te 0.2601 0.5203 0.2807
7 Te 0.2431 0.4862 0.7173
8 Te 0.7569 0.5138 0.2827
9 Te 0.7315 0.9745 0.7174
10 Te 0.2430 0.9745 0.7174
11 Te 0.7570 0.0255 0.2826
12 K 0.0000 0.5000 0.0000
13 K 0.5000 0.5000 0.0000
14 K 0.0000 0.0000 0.0000
15 Pr 0.0000 0.0000 0.5000

Magnetic moment: 0.000 μB/atom
ΔE_f (raw): -1244 meV/atom

***

[4]
First-principles (PBE) data for an optimized crystal structure of Tl2CoSi, as listed in the Alexandria database.

a b c (Å): 4.8775 4.8775 4.8775
angles (deg): 60.00 60.00 60.00
Site moments in Bohr magnetons follow the coordinates.
Fractional positions:
1 Tl 0.7500 0.7500 0.7500  -0.01
2 Tl 0.2500 0.2500 0.2500  -0.01
3 Si 0.0000 0.0000 0.0000  0.01
4 Co 0.5000 0.5000 0.5000  1.40

Energy above the lowest structure with this stoichiometry: 2.59 eV/f.u.
Magnetic moment: 0.342 μB/atom
ΔE_f (raw): 801 meV/atom

***

[5]
First-principles (PBE) data for an optimized crystal structure of SbBr2Cl, as listed in the Alexandria database.

a b c (Å): 5.6929 6.3597 3.5961
angles (deg): 84.05 66.41 109.54
Fractional positions:
1 Br 0.0000 0.0000 0.0000
2 Br 0.5000 0.0000 0.5000
3 Cl 0.0000 0.5000 0.5000
4 Sb 0.5000 0.5000 0.0000

Energy above the lowest structure with this stoichiometry: 2.71 eV/f.u.
Magnetic moment: 0.000 μB/atom
ΔE_f (raw): -16 meV/atom

***

[6]
First-principles (PBE) data for an optimized crystal structure of Dy2ZrNi, as listed in the Alexandria database.

a b c (Å): 3.3540 3.3540 10.3803
angles (deg): 80.70 80.70 60.00
Fractional positions:
1 Dy 0.1049 0.1049 0.6852
2 Dy 0.8951 0.8951 0.3148
3 Zr 0.0000 0.0000 0.0000
4 Ni 0.5000 0.5000 0.5000

ΔH_f (0 K): 0.23 eV per atom
Energy above the lowest structure with this stoichiometry: 1.43 eV/f.u.
Magnetic moment: 0.000 μB/atom

***

[7]
First-principles (PBE) data for an optimized crystal structure of ZnAgMo2, as listed in the Alexandria database.

a b c (Å): 5.1794 5.1794 2.6893
angles (deg): 89.06 89.06 118.93
Fractional positions:
1 Mo 0.0000 0.0000 0.0000
2 Mo 0.5000 0.5000 0.0000
3 Zn 0.5000 0.0000 0.5000
4 Ag 0.0000 0.5000 0.5000

ΔH_f (0 K): 0.31 eV per atom
Magnetic moment: 0.000 μB/atom

***

[8]
First-principles (PBE) data for an optimized crystal structure of SmTm3Al2, as listed in the Alexandria database.

a b c (Å): 5.1749 8.9030 8.8986
angles (deg): 124.70 90.00 106.90
Site moments in Bohr magnetons follow the coordinates.
Fractional positions:
1 Tm 0.0613 0.1226 0.4066  0.06
2 Tm 0.9387 0.8774 0.5934  0.06
3 Tm 0.3832 0.7663 0.2995  0.04
4 Tm 0.6168 0.2337 0.7005  0.04
5 Tm 0.6873 0.3747 0.3851  0.01
6 Tm 0.3127 0.6253 0.6149  0.01
7 Al 0.5226 0.0453 0.8858  0.00
8 Al 0.2319 0.4637 0.8628  0.00
9 Al 0.4774 0.9547 0.1142  0.00
10 Al 0.7681 0.5363 0.1372  0.00
11 Sm 0.8683 0.7366 0.9160  0.00
12 Sm 0.1317 0.2634 0.0840  0.00

ΔH_f (0 K): -0.19 eV per atom
Energy above the lowest structure with this stoichiometry: 0.41 eV/f.u.
Magnetic moment: 0.023 μB/atom

***

[9]
First-principles (PBE) data for an optimized crystal structure of BePSeCl2, as listed in the Alexandria database.

a b c (Å): 4.0203 4.0203 7.9053
angles (deg): 90.00 90.00 90.00
Site moments in Bohr magnetons follow the coordinates.
Fractional positions:
1 Se 0.5000 0.5000 0.5000  -0.04
2 Be 0.0000 0.0000 0.0000  0.00
3 Cl 0.5000 0.0000 0.0000  0.00
4 Cl 0.0000 0.5000 0.0000  0.00
5 P 0.0000 0.0000 0.5000  0.17

Energy above the lowest structure with this stoichiometry: 0.00 eV/f.u.
Magnetic moment: 0.062 μB/atom
ΔE_f (raw): 36 meV/atom

***

[10]
First-principles (PBE) data for an optimized crystal structure of HfZrV2, as listed in the Alexandria database.

a b c (Å): 4.7054 4.7054 4.7054
angles (deg): 60.00 60.00 60.00
Site moments in Bohr magnetons follow the coordinates.
Fractional positions:
1 Zr 0.0000 0.0000 0.0000  0.15
2 V 0.2500 0.2500 0.2500  1.54
3 V 0.7500 0.7500 0.7500  1.54
4 Hf 0.5000 0.5000 0.5000  0.26

ΔH_f (0 K): 0.18 eV per atom
Energy above the lowest structure with this stoichiometry: 0.00 eV/f.u.
Magnetic moment: 1.046 μB/atom

***

[11]
First-principles (PBE) data for an optimized crystal structure of CsBiAu2, as listed in the Alexandria database.

a b c (Å): 7.0137 11.4947 7.0734
angles (deg): 90.00 90.00 90.00
Fractional positions:
1 Bi 0.7500 0.8582 0.8372
2 Bi 0.2500 0.6418 0.3372
3 Bi 0.7500 0.3582 0.6628
4 Bi 0.2500 0.1418 0.1628
5 Au 0.4518 0.2726 0.4463
6 Au 0.9518 0.7274 0.5537
7 Au 0.0482 0.2726 0.4463
8 Au 0.5482 0.7274 0.5537
9 Au 0.0482 0.7726 0.0537
10 Au 0.9518 0.2274 0.9463
11 Au 0.5482 0.2274 0.9463
12 Au 0.4518 0.7726 0.0537
13 Cs 0.2500 0.4897 0.8170
14 Cs 0.7500 0.5103 0.1830
15 Cs 0.7500 0.0103 0.3170
16 Cs 0.2500 0.9897 0.6830

ΔH_f (0 K): -0.25 eV per atom
Magnetic moment: 0.000 μB/atom

***

[12]
First-principles (PBE) data for an optimized crystal structure of Sm8Si3Te4Br, as listed in the Alexandria database.

a b c (Å): 8.6217 8.7717 8.6214
angles (deg): 119.43 120.00 90.00
Fractional positions:
1 Sm 0.7504 0.2761 0.0257
2 Sm 0.2595 0.2785 0.5190
3 Sm 0.7247 0.7239 0.9743
4 Sm 0.2496 0.7239 0.4991
5 Sm 0.7405 0.7215 0.4810
6 Sm 0.2753 0.2761 0.0257
7 Sm 0.2496 0.7239 0.9743
8 Sm 0.7504 0.2761 0.5009
9 Si 0.5000 0.5000 0.5000
10 Si 0.5000 0.5000 0.0000
11 Si 0.0000 0.5000 0.5000
12 Te 0.5000 0.0000 0.0000
13 Te 0.5000 0.0000 0.5000
14 Te 0.0000 0.0000 0.5000
15 Te 0.0000 0.0000 0.0000
16 Br 0.0000 0.5000 0.0000

Magnetic moment: 0.000 μB/atom
ΔE_f (raw): -1200 meV/atom

***

Number 1: E_tot -52.3 eV/cell. Number 2: E_tot -57.7 eV/cell. Number 3: E_tot -74.1 eV/cell. Number 4: E_tot -14.1 eV/cell. Number 5: E_tot -9.4 eV/cell. Number 6: E_tot -22.6 eV/cell. Number 7: E_tot -24.5 eV/cell. Number 8: E_tot -53.5 eV/cell. Number 9: E_tot -16.1 eV/cell. Number 10: E_tot -36.0 eV/cell. Number 11: E_tot -49.2 eV/cell. Number 12: E_tot -87.5 eV/cell.